No. 1
{"formula": "LiTl3Tc", "functional": "GGA-PBE", "state": "optimized geometry", "dft_energy_ev_per_fu": -14.9, "magnetic_moment_mub_per_atom": 0.72, "polymorph_energy_kj_per_mol_fu": 252, "volume_a3_per_atom": 25.05, "ef_ev_per_atom": 0.8979, "lattice_angstrom": [[5.004, 0.000, 0.000], [0.000, 5.004, 0.000], [0.000, 0.000, 5.004]], "species": ["Tl", "Tl", "Tl", "Tc", "Li"], "frac_coords": [[0.000, 0.500, 0.000], [0.000, 0.000, 0.500], [0.500, 0.000, 0.000], [0.500, 0.500, 0.500], [0.000, 0.000, 0.000]]}

No. 2
{"formula": "LiTlTc", "functional": "GGA-PBE", "state": "optimized geometry", "dft_energy_ev_per_fu": -13.1, "magnetic_moment_mub_per_atom": 0.00, "polymorph_energy_kj_per_mol_fu": 5, "volume_a3_per_atom": 17.28, "ef_ev_per_atom": 0.5117, "lattice_angstrom": [[4.999, -0.006, 0.008], [2.355, 4.409, -0.008], [-3.143, -3.094, 2.353]], "species": ["Li", "Tc", "Tl"], "frac_coords": [[0.998, 0.998, 0.000], [0.335, 0.335, 0.000], [0.667, 0.667, 0.000]]}

No. 3
{"formula": "LiTm2Tc", "functional": "GGA-PBE", "state": "optimized geometry", "dft_energy_ev_per_fu": -20.6, "magnetic_moment_mub_per_atom": 0.00, "polymorph_energy_kj_per_mol_fu": 86, "volume_a3_per_atom": 24.05, "ef_ev_per_atom": 0.1470, "lattice_angstrom": [[3.391, 0.000, 0.000], [1.695, 2.937, 0.000], [1.695, 0.979, 9.659]], "species": ["Tm", "Tm", "Tc", "Li"], "frac_coords": [[0.736, 0.736, 0.792], [0.264, 0.264, 0.208], [0.000, 0.000, 0.000], [0.500, 0.500, 0.500]]}

No. 4
{"formula": "LiTmTc", "functional": "GGA-PBE", "state": "optimized geometry", "dft_energy_ev_per_fu": -15.5, "magnetic_moment_mub_per_atom": 0.00, "volume_a3_per_atom": 22.79, "ef_ev_per_atom": 0.4231, "lattice_angstrom": [[3.777, 0.000, 0.000], [0.000, 3.777, 0.000], [-1.889, -1.889, 9.584]], "species": ["Li", "Li", "Tm", "Tm", "Tc", "Tc"], "frac_coords": [[0.290, 0.290, 0.580], [0.710, 0.710, 0.420], [0.101, 0.101, 0.202], [0.899, 0.899, 0.798], [0.560, 0.560, 0.121], [0.440, 0.440, 0.879]]}

No. 5
{"formula": "LiTm2Tc", "functional": "GGA-PBE", "state": "optimized geometry", "dft_energy_ev_per_fu": -21.5, "magnetic_moment_mub_per_atom": 0.00, "polymorph_energy_kj_per_mol_fu": 1, "volume_a3_per_atom": 20.42, "ef_ev_per_atom": -0.0740, "lattice_angstrom": [[-0.808, -2.703, 3.970], [3.147, 0.128, 3.715], [-1.262, 2.141, 4.188]], "species": ["Tm", "Tm", "Tc", "Li"], "frac_coords": [[0.250, 0.250, 0.250], [0.750, 0.750, 0.750], [0.000, 0.000, 0.000], [0.500, 0.500, 0.500]]}

No. 6
{"formula": "LiTm2Tc", "functional": "GGA-PBE", "state": "optimized geometry", "dft_energy_ev_per_fu": -21.5, "magnetic_moment_mub_per_atom": 0.00, "polymorph_energy_kj_per_mol_fu": 0, "volume_a3_per_atom": 22.90, "ef_ev_per_atom": -0.0769, "lattice_angstrom": [[3.429, 0.000, 0.000], [0.000, 3.429, 0.000], [0.000, 0.000, 7.793]], "species": ["Tm", "Tm", "Tc", "Li"], "frac_coords": [[0.000, 0.000, 0.795], [0.000, 0.000, 0.205], [0.500, 0.500, 0.000], [0.500, 0.500, 0.500]]}

No. 7
{"formula": "LiTmVTc", "functional": "GGA-PBE", "state": "optimized geometry", "dft_energy_ev_per_fu": -25.4, "magnetic_moment_mub_per_atom": 0.33, "volume_a3_per_atom": 16.75, "ef_ev_per_atom": 0.1111, "lattice_angstrom": [[4.559, 0.000, 0.000], [2.279, 3.948, 0.000], [2.279, 1.316, 3.722]], "species": ["Tm", "Li", "Tc", "V"], "frac_coords": [[0.250, 0.250, 0.250], [0.500, 0.500, 0.500], [0.000, 0.000, 0.000], [0.750, 0.750, 0.750]]}

No. 8
{"formula": "LiUTc2", "functional": "GGA-PBE", "state": "optimized geometry", "dft_energy_ev_per_fu": -33.8, "magnetic_moment_mub_per_atom": 0.00, "polymorph_energy_kj_per_mol_fu": 0, "volume_a3_per_atom": 15.69, "ef_ev_per_atom": 0.0340, "lattice_angstrom": [[3.535, 0.000, 0.000], [0.000, 4.214, 0.000], [0.000, 0.000, 4.214]], "species": ["U", "Tc", "Tc", "Li"], "frac_coords": [[0.500, 0.000, 0.000], [0.000, 0.000, 0.500], [0.000, 0.500, 0.000], [0.500, 0.500, 0.500]]}